Compound: Sr2YUSe6
Source: the Alexandria database
Functional: GGA-PBE
Structure: optimized geometry

a = 7.201 Å, b = 7.796 Å, c = 10.578 Å
α = 90.00°, β = 89.89°, γ = 90.00°
Each line ends with the local moment (μB).
Fractional positions:
1 Sr 0.032 0.910 0.251  0.00
2 Sr 0.532 0.590 0.751  0.00
3 Sr 0.968 0.090 0.749  0.00
4 Sr 0.468 0.410 0.249  0.00
5 Y 0.500 0.000 0.000  -0.02
6 Y 0.000 0.500 0.500  -0.02
7 U 0.500 0.000 0.500  1.28
8 U 0.000 0.500 0.000  1.28
9 Se 0.310 0.688 0.060  -0.04
10 Se 0.810 0.812 0.560  -0.04
11 Se 0.690 0.312 0.940  -0.04
12 Se 0.190 0.188 0.440  -0.04
13 Se 0.321 0.697 0.438  -0.03
14 Se 0.821 0.803 0.938  -0.03
15 Se 0.679 0.303 0.562  -0.03
16 Se 0.179 0.197 0.062  -0.03
17 Se 0.881 0.533 0.246  -0.03
18 Se 0.381 0.967 0.746  -0.03
19 Se 0.119 0.467 0.754  -0.03
20 Se 0.619 0.033 0.254  -0.03

Values from the calculation:
Uncorrected energy ... -5.8723 eV per atom